# AcPu2CuO8

A relaxed AcPu2CuO8 crystal (PBE, Alexandria via LeMat-Bulk).

Cell: 6.4042 6.4042 6.4042 Å, 111.10 111.10 106.26°
Closest atoms and distances in Å follow each position.
Fractional coordinates of all 12 atoms:
1 Ac 0.0000 0.0000 0.0000  4 O 2.39
2 Pu 0.2500 0.7500 0.5000  4 O 1.95
3 Pu 0.5000 0.5000 0.0000  4 O 2.02
4 Cu 0.7500 0.2500 0.5000  4 O 2.26
5 O 0.0589 0.3823 0.3234  1 Pu 1.95
6 O 0.0589 0.7355 0.6766  1 Pu 1.95
7 O 0.1177 0.3139 0.8038  1 Pu 2.02, 1 Cu 2.26
8 O 0.2645 0.9411 0.3234  1 Pu 1.95
9 O 0.5100 0.3139 0.1962  1 Pu 2.02, 1 Cu 2.26
10 O 0.6177 0.9411 0.6766  1 Pu 1.95
11 O 0.6861 0.4900 0.8038  1 Pu 2.02, 1 Cu 2.26
12 O 0.6861 0.8823 0.1962  1 Pu 2.02, 1 Cu 2.26

Results
- Uncorrected formation energy: -1.955 eV per atom
- Crystal system: tetragonal
- M_tot: 4.1 μB/f.u.
- Final energy: -100.00 eV/cell